BaTi6O12: single point on PBEsol structure, SCAN.

## Properties
The uncorrected formation energy comes out at -3.335 eV/atom. The theoretical density is 4.53 g/cm³. The space group is I4/m, No. 87. As for the spin magnetization: 4.16 μB per cell.

Lattice parameters (Å, degrees): 8.4024 8.4024 8.4024 106.12 106.12 116.41
Last column: nearest neighbours and their distance in Å.
Atoms (fractional coordinates):
O 0.8724 0.5019 0.7118  3 Ti 1.93-1.98
O 0.1598 0.4604 0.6202  3 Ti 1.92-1.95
Ti 0.6852 0.5021 0.5178  6 O 1.93-2.02
Ti 0.6507 0.8312 0.4819  6 O 1.92-2.03
Ti 0.8326 0.3148 0.8169  6 O 1.93-2.02
O 0.1358 0.4886 0.9557  3 Ti 1.99-2.02
O 0.7900 0.1606 0.2882  3 Ti 1.93-1.98
O 0.8394 0.1276 0.6295  3 Ti 1.93-1.98
O 0.2100 0.8394 0.7118  3 Ti 1.93-1.98
Ti 0.5021 0.9843 0.8169  6 O 1.93-2.02
O 0.8199 0.8642 0.3527  3 Ti 1.99-2.02
Ti 0.9843 0.1674 0.4822  6 O 1.93-2.02
O 0.1606 0.8724 0.3705  3 Ti 1.93-1.98
Ti 0.1688 0.6507 0.8194  6 O 1.92-2.03
O 0.4604 0.8402 0.3005  3 Ti 1.92-1.95
O 0.5396 0.1598 0.6995  3 Ti 1.92-1.95
O 0.5114 0.4672 0.6473  3 Ti 1.99-2.02
Ti 0.8312 0.3493 0.1806  6 O 1.92-2.03
O 0.1950 0.8496 0.0446  3 Ti 2.02-2.03
Ti 0.1674 0.6852 0.1831  6 O 1.93-2.02
O 0.4886 0.5328 0.3527  3 Ti 1.99-2.02
O 0.8050 0.1504 0.9554  3 Ti 2.02-2.03
Ba 0.7829 0.7829 0.0000  4 O 2.74
Ti 0.3148 0.4979 0.4822  6 O 1.93-2.02
O 0.5019 0.7900 0.6295  3 Ti 1.93-1.98
Ba 0.2171 0.2171 0.0000  4 O 2.74
O 0.1276 0.4981 0.2882  3 Ti 1.93-1.98
O 0.8496 0.8050 0.6545  3 Ti 2.02-2.03
O 0.4672 0.8199 0.9557  3 Ti 1.99-2.02
O 0.1801 0.1358 0.6473  3 Ti 1.99-2.02
O 0.5328 0.1801 0.0443  3 Ti 1.99-2.02
Ti 0.4979 0.0157 0.1831  6 O 1.93-2.02
Ti 0.0157 0.8326 0.5178  6 O 1.93-2.02
Ti 0.3493 0.1688 0.5181  6 O 1.92-2.03
O 0.4981 0.2100 0.3705  3 Ti 1.93-1.98
O 0.8642 0.5114 0.0443  3 Ti 1.99-2.02
O 0.8402 0.5396 0.3798  3 Ti 1.92-1.95
O 0.1504 0.1950 0.3455  3 Ti 2.02-2.03


Sb2Rh: single point on PBEsol structure, SCAN.

## Properties
The uncorrected formation energy comes out at -0.009 eV/atom. The theoretical density is 8.61 g/cm³. The space group is P4/mmm, No. 123. As for the spin magnetization: 0.00 μB per cell.

Lattice parameters (Å, degrees): 3.2660 4.5219 4.5219 90.00 90.00 90.00
Last column: nearest neighbours and their distance in Å.
Atoms (fractional coordinates):
Rh 0.0000 0.0000 0.0000  8 Sb 2.79
Sb 0.5000 0.0000 0.5000  4 Rh 2.79
Sb 0.5000 0.5000 0.0000  4 Rh 2.79


Al3Bi5Cl12: single point on PBEsol structure, SCAN.

## Properties
The uncorrected formation energy comes out at -1.213 eV/atom. The theoretical density is 4.37 g/cm³. The space group is R-3c, No. 167. As for the spin magnetization: 0.00 μB per cell.

Lattice parameters (Å, degrees): 11.6753 11.6753 12.0428 61.00 61.00 60.00
Last column: nearest neighbours and their distance in Å.
Atoms (fractional coordinates):
Cl 0.2302 0.8060 0.5742  1 Al 2.14
Bi 0.4113 0.0887 0.2500  4 Bi 3.03-3.26, 2 Cl 3.32
Cl 0.0362 0.3072 0.7286  1 Al 2.16
Cl 0.5362 0.4280 0.2286  1 Al 2.16
Bi 0.5887 0.9113 0.7500  4 Bi 3.03-3.26, 2 Cl 3.32
Cl 0.6940 0.2698 0.9258  1 Al 2.14
Bi 0.0887 0.2500 0.2500  4 Bi 3.03-3.26, 2 Cl 3.32
Al 0.7500 0.2242 0.7500  4 Cl 2.14-2.16
Bi 0.6707 0.6707 0.9878  3 Bi 3.03, 3 Cl 3.31
Cl 0.3060 0.7302 0.0742  1 Al 2.14
Bi 0.2500 0.4113 0.2500  4 Bi 3.03-3.26, 2 Cl 3.32
Cl 0.8072 0.5362 0.2286  1 Al 2.16
Cl 0.7698 0.1940 0.4258  1 Al 2.14
Cl 0.6104 0.7698 0.4258  1 Al 2.14
Cl 0.9280 0.0362 0.7286  1 Al 2.16
Cl 0.4280 0.8072 0.2286  1 Al 2.16
Bi 0.9113 0.7500 0.7500  4 Bi 3.03-3.26, 2 Cl 3.32
Bi 0.1707 0.1707 0.4878  3 Bi 3.03, 3 Cl 3.31
Cl 0.2698 0.1104 0.9258  1 Al 2.14
Al 0.2758 0.7500 0.7500  4 Cl 2.14-2.16
Cl 0.3072 0.9280 0.7286  1 Al 2.16
Cl 0.9638 0.6928 0.2714  1 Al 2.16
Cl 0.5720 0.1928 0.7714  1 Al 2.16
Bi 0.7500 0.5887 0.7500  4 Bi 3.03-3.26, 2 Cl 3.32
Cl 0.8060 0.3896 0.5742  1 Al 2.14
Cl 0.1940 0.6104 0.4258  1 Al 2.14
Cl 0.8896 0.3060 0.0742  1 Al 2.14
Cl 0.1928 0.4638 0.7714  1 Al 2.16
Al 0.2242 0.2758 0.7500  4 Cl 2.14-2.16
Bi 0.3293 0.3293 0.0122  3 Bi 3.03, 3 Cl 3.31
Bi 0.8293 0.8293 0.5122  3 Bi 3.03, 3 Cl 3.31
Cl 0.7302 0.8896 0.0742  1 Al 2.14
Cl 0.0720 0.9638 0.2714  1 Al 2.16
Al 0.7758 0.7242 0.2500  4 Cl 2.14-2.16
Al 0.2500 0.7758 0.2500  4 Cl 2.14-2.16
Cl 0.4638 0.5720 0.7714  1 Al 2.16
Cl 0.1104 0.6940 0.9258  1 Al 2.14
Al 0.7242 0.2500 0.2500  4 Cl 2.14-2.16
Cl 0.6928 0.0720 0.2714  1 Al 2.16
Cl 0.3896 0.2302 0.5742  1 Al 2.14


Number 1: E -547.75 eV per cell. Number 2: E -108.32 eV per cell. Number 3: E -1072.30 eV per cell.